An optimized crystal structure of Tb2PmZr3N6, computed with GGA-PBE.

As for the total magnetization: 0.0 Bohr magnetons per cell. The total energy is -219.19 eV for the cell shown. For the formation energy without anion corrections, the calculation gives -1665.5 meV per atom. As for the crystal system: monoclinic.

It has space group C2/m (No. 12), with a = 5.837 Å, b = 10.097 Å, c = 5.912 Å, α = 90.00°, β = 109.24° and γ = 90.00°. The inequivalent atoms are Tb at (0.000, 0.167, 0.000), Pm at (0.000, 0.500, 0.000), Zr at (0.000, 0.000, 0.500), Zr at (0.000, 0.332, 0.500), N at (0.239, 0.170, 0.727) and N at (0.248, 0.500, 0.726).


An optimized crystal structure of Ce2FeOs3, computed with GGA-PBE.

As for the total magnetization: 2.0 Bohr magnetons per cell. The total energy is -110.35 eV for the cell shown. As for the crystal system: hexagonal. As for the formation energy from the elements: -0.193 eV per atom.

It has space group P6_3/mmc (No. 194), with a = 5.3965 Å, b = 5.3965 Å, c = 8.4982 Å, α = 90.00°, β = 90.00° and γ = 120.00°. The inequivalent atoms are Ce at (0.3333, 0.6667, 0.0745), Fe at (0.0000, 0.0000, 0.0000) and Os at (0.1688, 0.3376, 0.7500).